# Li4Sb2Au3

A relaxed structure of Li4Sb2Au3 (PBE, Alexandria).

CIF file:
```
data_Li4Sb2Au3
_chemical_formula_sum 'Li8 Sb4 Au6'
_cell_length_a 9.411
_cell_length_b 4.281
_cell_length_c 8.664
_cell_angle_alpha 90.00
_cell_angle_beta 111.29
_cell_angle_gamma 90.00
_symmetry_space_group_name_H-M 'C 1 2/m 1'
_symmetry_Int_Tables_number 12
loop_
_symmetry_equiv_pos_as_xyz
'x,y,z'
'-x,-y,-z'
'-x,y,-z'
'x,-y,z'
'x+1/2,y+1/2,z'
'-x+1/2,-y+1/2,-z'
'-x+1/2,y+1/2,-z'
'x+1/2,-y+1/2,z'
loop_
_atom_site_label
_atom_site_fract_x
_atom_site_fract_y
_atom_site_fract_z
Li1 0.016 0.000 0.343
Li2 0.160 0.500 0.876
Sb1 0.178 0.500 0.219
Au1 0.000 0.000 0.000
Au2 0.158 0.500 0.548
```

Summary:
electronic total energy: -0.122 hartree per atom